DFT (PBE) results for a geometry-optimized Pm2Tl3Ag structure.

For the total energy, the calculation gives -0.1288 hartree per atom. The calculation puts the density of states at the Fermi level at 4.501 states/eV/f.u. For the energy above the most stable polymorph in this dataset, the calculation gives 0.004 eV per atom.

Lattice parameters (Å, degrees): 7.330 10.080 17.469 90.00 90.00 90.00
Space group Fmmm (No. 69)
Inequivalent atoms, fractional coordinates:
Pm  0.249  0.000  0.000 (multiplicity 8)
Pm  0.250  0.250  0.250 (multiplicity 8)
Tl  0.000  0.000  0.329 (multiplicity 8)
Tl  0.000  0.242  0.086 (multiplicity 16)
Ag  0.000  0.000  0.168 (multiplicity 8)